one) A plane-wave DFT calculation with PBE-GGA was carried out for a geometry-optimized TcAs3Br structure.

Results
The value obtained for the density of states at the Fermi level is 6.4 states/eV per cell. The calculation puts the total moment at 0.000 μB per cell.

a b c (Å): 4.853 4.853 4.853
angles (deg): 90.00 90.00 90.00
Positions (direct):
As 0.500 0.000 0.000
Br 0.500 0.500 0.500
As 0.000 0.000 0.500
Tc 0.000 0.000 0.000
As 0.000 0.500 0.000


two) A plane-wave DFT calculation with PBE-GGA was carried out for a geometry-optimized TcAs3Br structure.

Results
The value obtained for the density of states at the Fermi level is 4.8 states/eV per cell. The calculation puts the total moment at 2.861 μB per cell.

a b c (Å): 4.997 4.997 4.997
angles (deg): 90.00 90.00 90.00
Positions (direct):
As 0.500 0.000 0.000
Tc 0.500 0.500 0.500
As 0.000 0.500 0.000
Br 0.000 0.000 0.000
As 0.000 0.000 0.500


Out of the structures above, which one is the most stable? Solution: one).